Version one
{
  "formula": "La4ScZn",
  "functional": "GGA-PBE",
  "state": "optimized geometry",
  "cell": [[6.085, -1.523, 1.788], [1.274, -5.857, 2.571], [3.401, -4.392, -3.418]],
  "species": ["La", "La", "La", "La", "Sc", "Zn"],
  "frac_coords": [[0.875, 0.375, 0.375], [0.375, 0.375, 0.375], [0.375, 0.875, 0.375], [0.375, 0.375, 0.875], [0.750, 0.750, 0.750], [0.000, 0.000, 0.000]],
  "n_ef_per_ev_cell": 10.15,
  "sg": "F-43m, No. 216",
  "m_tot_mub_per_atom": 0.00
}

=====

Version two
{
  "formula": "La4ScZn",
  "functional": "GGA-PBE",
  "state": "optimized geometry",
  "cell": [[-3.377, -1.402, -0.626], [0.937, -3.081, 1.840], [-4.491, 5.605, 11.670]],
  "species": ["La", "La", "La", "La", "Zn", "Sc"],
  "frac_coords": [[0.000, 0.000, 0.361], [0.500, 0.500, 0.166], [0.500, 0.500, 0.834], [0.000, 0.000, 0.639], [0.500, 0.500, 0.500], [0.000, 0.000, 0.000]],
  "n_ef_per_ev_cell": 9.61,
  "sg": "P4/mmm, No. 123",
  "m_tot_mub_per_atom": 0.00
}

=====

Short version: version two, version one, most stable first.

=====

Version one
{
  "formula": "LaZrSc",
  "functional": "GGA-PBE",
  "state": "optimized geometry",
  "cell": [[3.682, 0.000, 0.000], [0.000, 3.682, 0.000], [-1.841, -1.841, 12.952]],
  "species": ["Zr", "Zr", "Sc", "Sc", "La", "La"],
  "frac_coords": [[0.277, 0.277, 0.554], [0.723, 0.723, 0.446], [0.845, 0.845, 0.689], [0.155, 0.155, 0.311], [0.562, 0.562, 0.124], [0.438, 0.438, 0.876]],
  "n_ef_per_ev_cell": 10.59,
  "sg": "I4/mmm, No. 139",
  "m_tot_mub_per_atom": 0.00
}

=====

Version two
{
  "formula": "LaZrSc",
  "functional": "GGA-PBE",
  "state": "optimized geometry",
  "cell": [[6.009, -0.013, 0.000], [3.476, 4.902, 0.000], [-4.743, -2.444, 2.765]],
  "species": ["Zr", "La", "Sc"],
  "frac_coords": [[0.681, 0.681, 0.000], [0.001, 0.001, 0.000], [0.319, 0.319, 0.000]],
  "n_ef_per_ev_cell": 4.99,
  "sg": "I4mm, No. 107",
  "m_tot_mub_per_atom": 0.00
}

=====

Short version: version one, version two, most stable first.

=====

Version one
{
  "formula": "LaZrSc",
  "functional": "GGA-PBE",
  "state": "optimized geometry",
  "cell": [[-1.993, 4.622, -0.386], [-1.926, 2.267, 4.078], [2.377, 3.953, 2.049]],
  "species": ["Zr", "Sc", "La"],
  "frac_coords": [[0.500, 0.500, 0.500], [0.000, 0.000, 0.000], [0.750, 0.750, 0.750]],
  "n_ef_per_ev_cell": 2.58,
  "sg": "F-43m, No. 216",
  "m_tot_mub_per_atom": 0.68
}

=====

Version two
{
  "formula": "LaZrSc",
  "functional": "GGA-PBE",
  "state": "optimized geometry",
  "cell": [[-1.554, 1.291, 2.705], [-1.668, -0.307, -2.919], [-2.448, -7.543, 2.192]],
  "species": ["La", "Zr", "Sc"],
  "frac_coords": [[0.000, 0.000, 0.992], [0.333, 0.667, 0.654], [0.667, 0.333, 0.354]],
  "n_ef_per_ev_cell": 3.45,
  "sg": "P3m1, No. 156",
  "m_tot_mub_per_atom": 0.00
}

=====

Short version: version two, version one, most stable first.

=====

Version one
{
  "formula": "LaZrSc",
  "functional": "GGA-PBE",
  "state": "optimized geometry",
  "cell": [[7.910, -0.014, 0.015], [7.226, 3.219, 0.016], [0.684, 0.145, 3.230]],
  "species": ["Sc", "Zr", "La"],
  "frac_coords": [[0.318, 0.318, 0.682], [0.677, 0.677, 0.323], [0.005, 0.005, 0.995]],
  "n_ef_per_ev_cell": 4.78,
  "sg": "I4mm, No. 107",
  "m_tot_mub_per_atom": 0.00
}

=====

Version two
{
  "formula": "LaZrSc",
  "functional": "GGA-PBE",
  "state": "optimized geometry",
  "cell": [[-0.125, 0.851, -5.287], [-0.212, -4.998, 1.913], [-3.314, 0.182, 0.108]],
  "species": ["La", "Sc", "Zr"],
  "frac_coords": [[0.000, 0.000, 0.000], [0.333, 0.667, 0.500], [0.667, 0.333, 0.500]],
  "n_ef_per_ev_cell": 4.77,
  "sg": "P-6m2, No. 187",
  "m_tot_mub_per_atom": 0.00
}

=====

Short version: version one, version two, most stable first.

=====

Version one
{
  "formula": "La3Se2",
  "functional": "GGA-PBE",
  "state": "optimized geometry",
  "cell": [[-4.182, 5.221, 3.113], [-5.600, 2.977, -3.771], [-7.538, -2.172, 2.261]],
  "species": ["La", "La", "La", "La", "La", "La", "Se", "Se", "Se", "Se"],
  "frac_coords": [[0.582, 0.918, 0.250], [0.082, 0.750, 0.750], [0.418, 0.082, 0.750], [0.250, 0.582, 0.250], [0.750, 0.418, 0.750], [0.918, 0.250, 0.250], [0.164, 0.164, 0.509], [0.336, 0.336, 0.991], [0.664, 0.664, 0.009], [0.836, 0.836, 0.491]],
  "n_ef_per_ev_cell": 12.74,
  "sg": "R-3c, No. 167",
  "m_tot_mub_per_atom": 0.00
}

=====

Version two
{
  "formula": "La3Se2",
  "functional": "GGA-PBE",
  "state": "optimized geometry",
  "cell": [[-3.354, 3.784, -0.902], [1.605, -0.920, 4.791], [4.819, 4.073, -0.832]],
  "species": ["Se", "Se", "La", "La", "La"],
  "frac_coords": [[0.333, 0.667, 0.815], [0.667, 0.333, 0.185], [0.000, 0.000, 0.000], [0.333, 0.667, 0.329], [0.667, 0.333, 0.671]],
  "n_ef_per_ev_cell": 6.37,
  "sg": "P-3m1, No. 164",
  "m_tot_mub_per_atom": 0.12
}

=====

Short version: version one, version two, most stable first.

=====

Version one
{
  "formula": "La4Se",
  "functional": "GGA-PBE",
  "state": "optimized geometry",
  "cell": [[-2.989, -4.442, 2.184], [3.416, -3.697, -2.845], [3.582, -0.181, 4.535]],
  "species": ["Se", "La", "La", "La", "La"],
  "frac_coords": [[0.500, 0.500, 0.500], [0.500, 0.000, 0.500], [0.500, 0.500, 0.000], [0.000, 0.000, 0.000], [0.000, 0.500, 0.500]],
  "n_ef_per_ev_cell": 7.78,
  "sg": "Pm-3m, No. 221",
  "m_tot_mub_per_atom": 0.00
}

=====

Version two
{
  "formula": "La4Se",
  "functional": "GGA-PBE",
  "state": "optimized geometry",
  "cell": [[2.317, -0.430, 6.546], [-4.987, 1.987, -4.426], [-1.627, -6.752, -0.404]],
  "species": ["La", "La", "La", "La", "Se"],
  "frac_coords": [[0.237, 0.574, 0.810], [0.574, 0.763, 0.337], [0.763, 0.426, 0.190], [0.426, 0.237, 0.663], [0.000, 0.000, 0.000]],
  "n_ef_per_ev_cell": 7.42,
  "sg": "I4/m, No. 87",
  "m_tot_mub_per_atom": 0.00
}

=====

Short version: version one, version two, most stable first.